No. 1
GaFe3Ag: relaxed, PBE-GGA.

Cell: 4.4440 4.4440 4.4440 Å, 90.00 90.00 90.00°
Space group Pm-3m (No. 221)
One atom of each set of equivalent atoms:
Ga1 0.0000 0.0000 0.0000
Fe1 0.0000 0.0000 0.5000
Ag1 0.5000 0.5000 0.5000

- volume (Å³/cell) = 88
- offset from the most stable computed form (meV/atom) = 0
- N(E_F) (states/eV per atom) = 0.81
- formation energy from the elements (eV per atom) = 1.018

---

No. 2
Cr2ReCl: relaxed, PBE-GGA.

Cell: 4.3924 4.3924 2.7884 Å, 90.00 90.00 90.00°
Space group P4/mmm (No. 123)
One atom of each set of equivalent atoms:
Cr1 0.0000 0.5000 0.0000
Re1 0.0000 0.0000 0.5000
Cl1 0.5000 0.5000 0.5000

- volume (Å³/cell) = 54
- offset from the most stable computed form (meV/atom) = 607
- N(E_F) (states/eV per atom) = 0.91
- E_form (uncorrected) (eV/atom) = 0.7735

---

No. 3
PdCN: relaxed, PBE-GGA.

Cell: 7.0614 2.8582 4.2750 Å, 90.00 90.65 90.00°
Space group Cm (No. 8)
One atom of each set of equivalent atoms:
Pd1 0.0000 0.0000 0.0000
C1 0.0000 0.5000 0.3511
N1 0.0001 0.5000 0.6322

- volume (Å³/cell) = 86
- offset from the most stable computed form (meV/atom) = 2
- N(E_F) (states/eV per atom) = 0.12
- E_form (uncorrected) (eV/atom) = 0.4315

---

No. 4
PrMg2AlAu4: relaxed, PBE-GGA.

Cell: 4.5757 4.5757 26.7930 Å, 90.00 90.00 120.00°
Space group R-3m (No. 166, hexagonal axes)
One atom of each set of equivalent atoms:
Pr1 0.0000 0.0000 0.0000
Mg1 0.0000 0.0000 0.2399
Al1 0.0000 0.0000 0.5000
Au1 0.0000 0.0000 0.1328
Au2 0.0000 0.0000 0.3981

- volume (Å³/cell) = 486
- N(E_F) (states/eV per atom) = 0.48
- formation energy from the elements (eV per atom) = -0.612

---

No. 5
ScGeSb2Te: relaxed, PBE-GGA.

Cell: 5.4634 5.4634 5.4869 Å, 90.00 90.00 90.00°
Space group P4/mmm (No. 123)
One atom of each set of equivalent atoms:
Sc1 0.0000 0.0000 0.0000
Ge1 0.5000 0.5000 0.5000
Sb1 0.0000 0.5000 0.0000
Te1 0.0000 0.0000 0.5000

- volume (Å³/cell) = 164
- offset from the most stable computed form (meV/atom) = 0
- N(E_F) (states/eV per atom) = 0.83
- E_form (uncorrected) (eV/atom) = 0.3070

---

No. 6
Dy3Cu8Pd: relaxed, PBE-GGA.

Cell: 5.1084 5.1084 25.4497 Å, 90.00 90.00 120.00°
Space group R3m (No. 160, hexagonal axes)
One atom of each set of equivalent atoms:
Dy1 0.0000 0.0000 0.0000
Dy2 0.0000 0.0000 0.1302
Dy3 0.0000 0.0000 0.5211
Cu1 0.0000 0.0000 0.3218
Cu2 0.0000 0.0000 0.8226
Cu3 0.9998 0.4999 0.0707
Cu4 0.1703 0.3407 0.9060
Pd1 0.0000 0.0000 0.6390

- volume (Å³/cell) = 575
- offset from the most stable computed form (meV/atom) = 13
- N(E_F) (states/eV per atom) = 0.80
- formation energy from the elements (eV per atom) = -0.261

---

No. 7
Pa2Bi9Pb: relaxed, PBE-GGA.

Cell: 4.7763 4.7763 15.9377 Å, 90.00 90.00 90.00°
Space group P4/mmm (No. 123)
One atom of each set of equivalent atoms:
Pa1 0.0000 0.0000 0.1568
Bi1 0.0000 0.5000 0.0000
Bi2 0.0000 0.5000 0.3198
Bi3 0.5000 0.5000 0.1625
Bi4 0.5000 0.5000 0.5000
Pb1 0.0000 0.0000 0.5000

- volume (Å³/cell) = 364
- N(E_F) (states/eV per atom) = 0.80
- formation energy from the elements (eV per atom) = -0.040

---

No. 8
BaHPt2: relaxed, PBE-GGA.

Cell: 6.9036 6.9036 6.9036 Å, 90.00 90.00 90.00°
Space group Fm-3m (No. 225)
One atom of each set of equivalent atoms:
Ba1 0.0000 0.0000 0.0000
H1 0.0000 0.0000 0.5000
Pt1 0.2500 0.2500 0.2500

- volume (Å³/cell) = 329
- offset from the most stable computed form (meV/atom) = 1187
- N(E_F) (states/eV per atom) = 0.39

---

No. 9
Ba2TcSb: relaxed, PBE-GGA.

Cell: 5.3557 5.3557 9.4532 Å, 90.00 90.00 90.00°
Space group I4/mmm (No. 139)
One atom of each set of equivalent atoms:
Ba1 0.0000 0.5000 0.2500
Tc1 0.0000 0.0000 0.0000
Sb1 0.0000 0.0000 0.5000

- volume (Å³/cell) = 271
- N(E_F) (states/eV per atom) = 1.50
- E_form (uncorrected) (eV/atom) = 0.3345

---

No. 10
CdReIr3: relaxed, PBE-GGA.

Cell: 4.7656 4.7656 4.7656 Å, 90.00 90.00 90.00°
Space group Pm-3m (No. 221)
One atom of each set of equivalent atoms:
Cd1 0.0000 0.0000 0.0000
Re1 0.5000 0.5000 0.5000
Ir1 0.0000 0.5000 0.5000

- volume (Å³/cell) = 108
- offset from the most stable computed form (meV/atom) = 0
- N(E_F) (states/eV per atom) = 0.84
- formation energy from the elements (eV per atom) = 1.459

---

No. 11
BPPd2: relaxed, PBE-GGA.

Cell: 4.8150 4.8150 11.1796 Å, 90.00 90.00 90.00°
Space group I-42d (No. 122)
One atom of each set of equivalent atoms:
B1 0.0000 0.0000 0.0000
P1 0.0000 0.0000 0.5000
Pd1 0.1972 0.2500 0.1250

- volume (Å³/cell) = 259
- offset from the most stable computed form (meV/atom) = 0
- N(E_F) (states/eV per atom) = 0.31
- formation energy from the elements (eV per atom) = 0.146

---

No. 12
SbBr3Cl6: relaxed, PBE-GGA.

Cell: 12.9339 7.9141 6.9156 Å, 90.00 90.37 90.00°
Space group C2/m (No. 12)
One atom of each set of equivalent atoms:
Sb1 0.0000 0.0000 0.0000
Br1 0.0000 0.5000 0.5000
Br2 0.1623 0.5000 0.3202
Cl1 0.1028 0.0000 0.2894
Cl2 0.1105 0.2163 0.8660

- volume (Å³/cell) = 708
- N(E_F) (states/eV per atom) = 0.98
- E_form (uncorrected) (eV/atom) = -0.2753